CaYTl | PBE | optimized geometry

CIF file:
```
data_CaYTl
_space_group_name_H-M_alt 'P 1'
_space_group_IT_number 1
_space_group_name_Hall 'P 1'
_cell_length_a 6.367
_cell_length_b 6.367
_cell_length_c 6.367
_cell_angle_alpha 116.39
_cell_angle_beta 115.05
_cell_angle_gamma 97.58
loop_
_atom_site_label
_atom_site_type_symbol
_atom_site_fract_x
_atom_site_fract_y
_atom_site_fract_z
_atom_site_occupancy
Ca1 Ca 0.391 0.141 0.250 1
Ca2 Ca 0.609 0.859 0.750 1
Y1 Y 0.000 0.000 0.500 1
Y2 Y 0.000 0.500 0.000 1
Tl1 Tl 0.000 0.500 0.500 1
Tl2 Tl 0.500 0.500 0.000 1
```

**DFT formation energy**: -0.233 eV per atom
**ρ**: 5752 kg/m³
**Symmetry**: Imma



AcSbTeRh | PBE | optimized geometry

CIF file:
```
data_AcSbTeRh
_space_group_name_H-M_alt 'P 1'
_space_group_IT_number 1
_space_group_name_Hall 'P 1'
_cell_length_a 4.682
_cell_length_b 4.682
_cell_length_c 10.083
_cell_angle_alpha 90.00
_cell_angle_beta 90.00
_cell_angle_gamma 90.00
loop_
_atom_site_label
_atom_site_type_symbol
_atom_site_fract_x
_atom_site_fract_y
_atom_site_fract_z
_atom_site_occupancy
Ac1 Ac 0.250 0.250 0.246 1
Ac2 Ac 0.750 0.750 0.754 1
Sb1 Sb 0.250 0.250 0.868 1
Sb2 Sb 0.750 0.750 0.132 1
Te1 Te 0.250 0.750 0.500 1
Te2 Te 0.750 0.250 0.500 1
Rh1 Rh 0.250 0.750 0.000 1
Rh2 Rh 0.750 0.250 0.000 1
```

**ρ**: 8704 kg/m³
**Energy relative to the elements, uncorrected**: -905 meV/atom
**Symmetry**: P4/nmm



Hf2ScGeCl | PBE | optimized geometry

CIF file:
```
data_Hf2ScGeCl
_space_group_name_H-M_alt 'P 1'
_space_group_IT_number 1
_space_group_name_Hall 'P 1'
_cell_length_a 4.724
_cell_length_b 4.724
_cell_length_c 4.650
_cell_angle_alpha 90.00
_cell_angle_beta 90.00
_cell_angle_gamma 90.00
loop_
_atom_site_label
_atom_site_type_symbol
_atom_site_fract_x
_atom_site_fract_y
_atom_site_fract_z
_atom_site_occupancy
Hf1 Hf 0.000 0.500 0.000 1
Hf2 Hf 0.500 0.000 0.000 1
Sc1 Sc 0.000 0.000 0.500 1
Ge1 Ge 0.500 0.500 0.500 1
Cl1 Cl 0.000 0.000 0.000 1
```

**ρ**: 8162 kg/m³
**Energy relative to the elements, uncorrected**: 63 meV/atom
**Symmetry**: P4/mmm



InSe | PBE | optimized geometry

CIF file:
```
data_InSe
_space_group_name_H-M_alt 'P 1'
_space_group_IT_number 1
_space_group_name_Hall 'P 1'
_cell_length_a 3.977
_cell_length_b 3.977
_cell_length_c 3.789
_cell_angle_alpha 90.00
_cell_angle_beta 90.00
_cell_angle_gamma 120.00
loop_
_atom_site_label
_atom_site_type_symbol
_atom_site_fract_x
_atom_site_fract_y
_atom_site_fract_z
_atom_site_occupancy
In1 In 0.000 0.000 0.000 1
Se1 Se 0.333 0.667 0.500 1
```

**ρ**: 6199 kg/m³
**Energy relative to the elements, uncorrected**: -352 meV/atom
**Symmetry**: P-6m2



LaCd3Pb3 | PBE | optimized geometry

CIF file:
```
data_LaCd3Pb3
_space_group_name_H-M_alt 'P 1'
_space_group_IT_number 1
_space_group_name_Hall 'P 1'
_cell_length_a 8.029
_cell_length_b 8.029
_cell_length_c 8.029
_cell_angle_alpha 90.00
_cell_angle_beta 90.00
_cell_angle_gamma 90.00
loop_
_atom_site_label
_atom_site_type_symbol
_atom_site_fract_x
_atom_site_fract_y
_atom_site_fract_z
_atom_site_occupancy
La1 La 0.000 0.000 0.000 1
La2 La 0.500 0.500 0.500 1
Cd1 Cd 0.000 0.250 0.500 1
Cd2 Cd 0.000 0.750 0.500 1
Cd3 Cd 0.250 0.500 0.000 1
Cd4 Cd 0.500 0.000 0.250 1
Cd5 Cd 0.500 0.000 0.750 1
Cd6 Cd 0.750 0.500 0.000 1
Pb1 Pb 0.000 0.500 0.250 1
Pb2 Pb 0.000 0.500 0.750 1
Pb3 Pb 0.250 0.000 0.500 1
Pb4 Pb 0.500 0.250 0.000 1
Pb5 Pb 0.500 0.750 0.000 1
Pb6 Pb 0.750 0.000 0.500 1
```

**DFT formation energy**: 0.334 eV per atom
**ρ**: 7044 kg/m³
**Symmetry**: Pm-3n



SrGaBi3 | PBE | optimized geometry

CIF file:
```
data_SrGaBi3
_space_group_name_H-M_alt 'P 1'
_space_group_IT_number 1
_space_group_name_Hall 'P 1'
_cell_length_a 6.132
_cell_length_b 6.132
_cell_length_c 6.132
_cell_angle_alpha 90.00
_cell_angle_beta 90.00
_cell_angle_gamma 90.00
loop_
_atom_site_label
_atom_site_type_symbol
_atom_site_fract_x
_atom_site_fract_y
_atom_site_fract_z
_atom_site_occupancy
Sr1 Sr 0.000 0.000 0.000 1
Ga1 Ga 0.500 0.500 0.500 1
Bi1 Bi 0.000 0.000 0.500 1
Bi2 Bi 0.000 0.500 0.000 1
Bi3 Bi 0.500 0.000 0.000 1
```

**DFT formation energy**: 0.660 eV per atom
**ρ**: 5649 kg/m³
**Symmetry**: Pm-3m



KBa2HfAs | PBE | optimized geometry

CIF file:
```
data_KBa2HfAs
_space_group_name_H-M_alt 'P 1'
_space_group_IT_number 1
_space_group_name_Hall 'P 1'
_cell_length_a 6.187
_cell_length_b 6.187
_cell_length_c 5.499
_cell_angle_alpha 90.00
_cell_angle_beta 90.00
_cell_angle_gamma 90.00
loop_
_atom_site_label
_atom_site_type_symbol
_atom_site_fract_x
_atom_site_fract_y
_atom_site_fract_z
_atom_site_occupancy
K1 K 0.000 0.000 0.000 1
Ba1 Ba 0.000 0.500 0.000 1
Ba2 Ba 0.500 0.000 0.000 1
Hf1 Hf 0.500 0.500 0.500 1
As1 As 0.000 0.000 0.500 1
```

**DFT formation energy**: 1.083 eV per atom
**ρ**: 4474 kg/m³
**Symmetry**: P4/mmm



NpRh2 | PBE | optimized geometry

CIF file:
```
data_NpRh2
_space_group_name_H-M_alt 'P 1'
_space_group_IT_number 1
_space_group_name_Hall 'P 1'
_cell_length_a 5.306
_cell_length_b 5.306
_cell_length_c 5.306
_cell_angle_alpha 60.00
_cell_angle_beta 60.00
_cell_angle_gamma 60.00
loop_
_atom_site_label
_atom_site_type_symbol
_atom_site_fract_x
_atom_site_fract_y
_atom_site_fract_z
_atom_site_occupancy
Np1 Np 0.125 0.125 0.125 1
Np2 Np 0.875 0.875 0.875 1
Rh1 Rh 0.000 0.500 0.500 1
Rh2 Rh 0.500 0.000 0.500 1
Rh3 Rh 0.500 0.500 0.000 1
Rh4 Rh 0.500 0.500 0.500 1
```

**DFT formation energy**: -0.353 eV per atom
**ρ**: 13925 kg/m³
**Symmetry**: Fd-3m